# 1
Here is a relaxed structure of Ag2RuCl from Alexandria via LeMat-Bulk. Energies are from GGA-PBE.

Cell lengths 9.322, 9.322, 9.322 Å; angles 18.49, 18.49, 18.49 degrees
Atoms (fractional coordinates):
Ru 0.755 0.755 0.755
Ag 0.255 0.255 0.255
Ag 0.007 0.007 0.007
Cl 0.483 0.483 0.483

E above lowest polymorph ... 0.0 meV/atom
Spin magnetization ... 0.0 μB per formula unit
E_form (uncorrected) ... 1.3 eV per formula unit
DFT total energy ... -3.8912 eV/atom
SG ... R3m (160)

***

# 2
Here is a relaxed structure of Hf3Ga2H from Alexandria via LeMat-Bulk. Energies are from GGA-PBE.

Cell lengths 5.555, 5.724, 7.025 Å; angles 94.22, 113.29, 90.00 degrees
Atoms (fractional coordinates):
Hf 0.770 0.354 0.742
Hf 0.397 0.250 0.000
Hf 0.028 0.146 0.258
Hf 0.972 0.854 0.742
Hf 0.230 0.646 0.258
Hf 0.603 0.750 0.000
Ga 0.759 0.536 0.368
Ga 0.241 0.464 0.632
Ga 0.391 0.964 0.632
Ga 0.609 0.036 0.368
H 0.048 0.250 0.000
H 0.952 0.750 0.000

Spin magnetization ... 0.0 μB per formula unit
DFT total energy ... -6.7993 eV/atom
SG ... C2/c (15)